A geometry-optimized Ba3Ce2ThAs6 structure, computed with GGA-PBE.

E_form = -15.31 eV per formula unit

Unit cell a=7.6600 b=13.2660 c=7.9140 alpha=90.00 beta=108.82 gamma=90.00
Last column: nearest neighbours and their distance in Å.
Space group C2/m (No. 12)
Unique sites:
Ba 0.0000 0.0000 0.0000 (multiplicity 2)  6 As 3.35-3.37
Ba 0.0000 0.3338 0.0000 (multiplicity 4)  6 As 3.35-3.37
Ce 0.0000 0.1667 0.5000 (multiplicity 4)  6 As 2.98
Th 0.0000 0.5000 0.5000 (multiplicity 2)  6 As 3.01
As 0.2328 0.0000 0.7073 (multiplicity 4)  2 Ce 2.98, 1 Th 3.01
As 0.2374 0.3319 0.7076 (multiplicity 8)  2 Ce 2.98, 1 Th 3.01

A geometry-optimized Ba4CeTh3As8 structure, computed with GGA-PBE.

E_form = -20.86 eV per formula unit

Unit cell a=8.8651 b=8.8651 c=22.6086 alpha=90.00 beta=90.00 gamma=120.00
Last column: nearest neighbours and their distance in Å.
Space group R-3m (No. 166, hexagonal axes)
Unique sites:
Ba 0.0000 0.0000 0.0000 (multiplicity 3)  6 As 3.38
Ba 0.0000 0.5000 0.0000 (multiplicity 9)  6 As 3.35-3.36
Ce 0.0000 0.0000 0.5000 (multiplicity 3)  6 As 2.99
Th 0.0000 0.5000 0.5000 (multiplicity 9)  6 As 3.01-3.02
As 0.0000 0.0000 0.2375 (multiplicity 6)  3 Th 3.02, 3 Ba 3.35
As 0.0024 0.5012 0.2365 (multiplicity 18)  1 Ce 2.99, 2 Th 3.01

A geometry-optimized Ba2CeUAs4 structure, computed with GGA-PBE.

E_form = -8.65 eV per formula unit

Unit cell a=7.5856 b=4.3746 c=7.8630 alpha=90.00 beta=108.67 gamma=90.00
Last column: nearest neighbours and their distance in Å.
Space group P2/m (No. 10)
Unique sites:
Ba 0.0000 0.0000 0.0000 (multiplicity 1)  6 As 3.39-3.41
Ba 0.5000 0.5000 0.0000 (multiplicity 1)  6 As 3.32-3.33
Ce 0.0000 0.5000 0.5000 (multiplicity 1)  6 As 2.98-2.99
U 0.5000 0.0000 0.5000 (multiplicity 1)  6 As 2.88-2.91
As 0.2447 0.0000 0.7038 (multiplicity 2)  1 U 2.88, 2 Ce 2.98
As 0.2742 0.5000 0.2984 (multiplicity 2)  2 U 2.91, 1 Ce 2.99

A geometry-optimized Ba2AsCl structure, computed with GGA-PBE.

Energy relative to the elements, uncorrected = -1653.0 meV per atom

Unit cell a=4.6702 b=4.6702 c=24.3221 alpha=90.00 beta=90.00 gamma=120.00
Last column: nearest neighbours and their distance in Å.
Space group R3m (No. 160, hexagonal axes)
Unique sites:
Ba 0.0000 0.0000 0.0000 (multiplicity 3)  3 As 3.23, 3 Cl 3.59
Ba 0.0000 0.0000 0.1860 (multiplicity 3)  3 As 3.24, 3 Cl 3.45
As 0.0000 0.0000 0.5933 (multiplicity 3)  6 Ba 3.23-3.24
Cl 0.0000 0.0000 0.7640 (multiplicity 3)  6 Ba 3.45-3.59

A geometry-optimized Ba2AsCl structure, computed with GGA-PBE.

Energy relative to the elements, uncorrected = -1552.2 meV per atom

Unit cell a=4.1099 b=4.2265 c=8.4523 alpha=90.00 beta=90.00 gamma=90.00
Last column: nearest neighbours and their distance in Å.
Space group Pmmm (No. 47)
Unique sites:
Ba 0.0000 0.0000 0.2054 (multiplicity 2)  2 Cl 3.23, 4 As 3.42, 1 Ba 3.47
As 0.5000 0.5000 0.0000 (multiplicity 1)  8 Ba 3.42
Cl 0.5000 0.0000 0.5000 (multiplicity 1)  4 Ba 3.23

A geometry-optimized BaAsCl2 structure, computed with GGA-PBE.

ΔE to the lowest computed polymorph = 2.48 kJ/mol of atoms
Energy relative to the elements, uncorrected = -1203.7 meV per atom

Unit cell a=5.7262 b=5.7262 c=11.6344 alpha=90.00 beta=90.00 gamma=120.00
Last column: nearest neighbours and their distance in Å.
Space group R-3m (No. 166, hexagonal axes)
Unique sites:
Ba 0.0000 0.0000 0.0000 (multiplicity 3)  8 Cl 3.30-3.36
As 0.0000 0.0000 0.5000 (multiplicity 3)  2 Cl 2.51
Cl 0.0000 0.0000 0.2839 (multiplicity 6)  1 As 2.51

A geometry-optimized Ba8As3Cl4 structure, computed with GGA-PBE.

Energy relative to the elements, uncorrected = -1518.0 meV per atom

Unit cell a=9.4514 b=9.4514 c=24.5930 alpha=90.00 beta=90.00 gamma=120.00
Last column: nearest neighbours and their distance in Å.
Space group R-3m (No. 166, hexagonal axes)
Unique sites:
Ba 0.0000 0.0000 0.2380 (multiplicity 6)  1 Cl 3.06, 3 As 3.24
Ba 0.0105 0.5052 0.7591 (multiplicity 18)  3 Cl 3.22-3.49, 2 As 3.25
As 0.0000 0.5000 0.5000 (multiplicity 9)  6 Ba 3.24-3.25
Cl 0.0000 0.0000 0.0000 (multiplicity 3)  6 Ba 3.49
Cl 0.0000 0.0000 0.3625 (multiplicity 6)  4 Ba 3.06-3.22, 1 Cl 3.38
Cl 0.0000 0.0000 0.5000 (multiplicity 3)  6 Ba 3.35, 2 Cl 3.38

A geometry-optimized BaAsCl2 structure, computed with GGA-PBE.

ΔE to the lowest computed polymorph = 102.64 kJ/mol of atoms
Energy relative to the elements, uncorrected = -165.5 meV per atom

Unit cell a=3.7069 b=3.7069 c=30.8716 alpha=90.00 beta=90.00 gamma=120.00
Last column: nearest neighbours and their distance in Å.
Space group R-3m (No. 166, hexagonal axes)
Unique sites:
Ba 0.0000 0.0000 0.0000 (multiplicity 3)  2 Cl 2.92
As 0.0000 0.0000 0.5000 (multiplicity 3)  6 Cl 3.09
Cl 0.0000 0.0000 0.0946 (multiplicity 6)  1 Ba 2.92, 3 As 3.09

A geometry-optimized Ba2As2Cl structure, computed with GGA-PBE.

ΔE to the lowest computed polymorph = 21.10 kJ/mol of atoms
Energy relative to the elements, uncorrected = -1134.5 meV per atom

Unit cell a=4.2832 b=4.2832 c=17.6423 alpha=90.00 beta=90.00 gamma=90.00
Last column: nearest neighbours and their distance in Å.
Space group I4/mmm (No. 139)
Unique sites:
Ba 0.0000 0.0000 0.1152 (multiplicity 4)  4 As 3.20
As 0.0000 0.5000 0.2500 (multiplicity 4)  4 As 3.03, 4 Ba 3.20
Cl 0.0000 0.0000 0.5000 (multiplicity 2)  8 Ba 3.65

A geometry-optimized BaAsCl2 structure, computed with GGA-PBE.

ΔE to the lowest computed polymorph = 15.14 kJ/mol of atoms
Energy relative to the elements, uncorrected = -1072.4 meV per atom

Unit cell a=7.2330 b=9.2760 c=5.2151 alpha=90.00 beta=133.08 gamma=90.00
Last column: nearest neighbours and their distance in Å.
Space group C2/m (No. 12)
Unique sites:
Ba 0.0000 0.0000 0.0000 (multiplicity 2)  4 Cl 3.00
As 0.0000 0.5000 0.0000 (multiplicity 2)  4 Cl 3.00
Cl 0.2500 0.2500 0.5000 (multiplicity 4)  2 Ba 3.00, 2 As 3.00

A geometry-optimized Ba4AsCl4 structure, computed with GGA-PBE.

Energy relative to the elements, uncorrected = -1990.3 meV per atom

Unit cell a=15.2779 b=4.6716 c=11.6675 alpha=90.00 beta=121.97 gamma=90.00
Last column: nearest neighbours and their distance in Å.
Space group C2/m (No. 12)
Unique sites:
Ba 0.0896 0.0000 0.3992 (multiplicity 4)  4 Cl 3.21-3.37, 2 As 3.23
Ba 0.2081 0.5000 0.7888 (multiplicity 4)  5 Cl 3.17-3.24, 1 As 3.18
As 0.0000 0.5000 0.5000 (multiplicity 2)  6 Ba 3.18-3.23
Cl 0.1240 0.0000 0.8886 (multiplicity 4)  4 Ba 3.17-3.24
Cl 0.1968 0.5000 0.3022 (multiplicity 4)  5 Ba 3.21-3.37

A geometry-optimized BaAsCl2 structure, computed with GGA-PBE.

ΔE to the lowest computed polymorph = 19.08 kJ/mol of atoms
Energy relative to the elements, uncorrected = -1031.6 meV per atom

Unit cell a=5.1175 b=5.1175 c=19.1116 alpha=90.00 beta=90.00 gamma=90.00
Last column: nearest neighbours and their distance in Å.
Space group I-42d (No. 122)
Unique sites:
Ba 0.0000 0.0000 0.0000 (multiplicity 4)  4 Cl 3.10
As 0.0000 0.0000 0.5000 (multiplicity 4)  4 Cl 2.91
Cl 0.2067 0.2500 0.6250 (multiplicity 8)  2 As 2.91, 2 Ba 3.10

A geometry-optimized BaAsCl2 structure, computed with GGA-PBE.

ΔE to the lowest computed polymorph = 4.23 kJ/mol of atoms
Energy relative to the elements, uncorrected = -1185.5 meV per atom

Unit cell a=4.6110 b=5.9004 c=5.3677 alpha=90.00 beta=108.45 gamma=90.00
Last column: nearest neighbours and their distance in Å.
Space group Pm (No. 6)
Unique sites:
Ba 0.0000 0.0000 0.0000 (multiplicity 1)  5 Cl 3.06-3.20
As 0.6585 0.5000 0.1333 (multiplicity 1)  1 Cl 2.32
Cl 0.3365 0.0000 0.5925 (multiplicity 1)  3 Ba 3.06-3.15
Cl 0.8278 0.5000 0.7703 (multiplicity 1)  1 As 2.32

A geometry-optimized Ba2As2Cl structure, computed with GGA-PBE.

ΔE to the lowest computed polymorph = 0.00 kJ/mol of atoms
Energy relative to the elements, uncorrected = -1353.2 meV per atom

Unit cell a=8.6844 b=8.6844 c=4.5641 alpha=90.00 beta=90.00 gamma=90.00
Last column: nearest neighbours and their distance in Å.
Space group P4/mbm (No. 127)
Unique sites:
Ba 0.1865 0.3135 0.0000 (multiplicity 4)  2 Cl 3.17, 6 As 3.45-3.50
As 0.0976 0.5976 0.5000 (multiplicity 4)  1 As 2.40
Cl 0.0000 0.0000 0.0000 (multiplicity 2)  4 Ba 3.17